VASP calculation (GGA+U) on Ga2NiIO6 after structural relaxation.

The structure in extended XYZ format:
```
20
Lattice="-4.816 -0.537 2.949 2.287 -0.561 6.434 -1.306 6.468 1.845" Properties=species:S:1:pos:R:3 pbc="T T T"
I -1.513 4.382 3.856
O -3.522 3.826 3.747
I -2.322 0.987 7.371
O -4.029 2.955 8.456
Ni -4.600 5.443 4.462
O -1.907 1.546 4.637
O -4.648 5.044 6.494
Ga -0.208 3.378 7.014
Ga -3.279 4.407 7.642
O -1.282 -0.259 2.296
O -4.358 0.779 2.917
O 0.813 0.325 4.733
O 0.194 2.415 2.771
Ni 0.765 -0.073 6.765
O -2.553 5.628 8.932
Ga -3.627 1.991 4.213
O -0.313 1.544 7.480
Ga -0.556 0.962 3.586
O 0.523 4.591 8.310
O -1.928 3.823 6.590
```

Computed properties:
Symmetry: C2/c, No. 15
N(E_F) (states/eV/cell): 2.3
Electronic total energy (eV per atom): -5.07